Density functional theory data (PBE) for a relaxed structure of Pm3Ho4Er5.

Cell and atoms, written as extended XYZ:
```
12
Lattice="7.949 -2.940 0.000 7.949 2.940 0.000 -4.071 0.000 8.290" Properties=species:S:1:pos:R:3 pbc="T T T"
Pm 0.000 0.000 0.000
Pm 1.505 0.000 6.370
Pm 10.323 0.000 1.920
Ho 4.122 0.000 1.015
Ho 4.377 0.000 4.627
Ho 7.451 0.000 3.664
Ho 7.706 0.000 7.275
Er -1.674 0.000 5.774
Er 1.163 0.000 3.214
Er 7.949 0.000 0.000
Er 10.665 0.000 5.077
Er 13.502 0.000 2.516
```

Values from the calculation:
- N(E_F): 19.066 states/eV/cell
- Magnetization: 0.02 μB per atom
- V: 387 Å³/cell
- ΔH_f (0 K): 0.241 eV per atom
- Energy above the most stable polymorph in this dataset: 0.222 eV/atom